Record 1
An optimized crystal structure of Li2Nb2CoS6. Source: Alexandria, functional PBE-GGA.

total energy = -5.989 eV/atom

Lattice parameters (Å, degrees): 6.0164 6.0164 6.5251 97.35 97.35 121.97
Closest atoms and distances in Å follow each position.
Atoms (fractional coordinates):
Li 0.1809 0.8191 0.0000  6 S 2.51-2.65
Li 0.8191 0.1809 0.0000  6 S 2.51-2.65
Nb 0.3588 0.6412 0.5000  6 S 2.44-2.62
Nb 0.6412 0.3588 0.5000  6 S 2.44-2.62
Co 0.0000 0.0000 0.5000  6 S 2.35-2.41
S 0.0561 0.3887 0.7192  1 Co 2.41, 2 Nb 2.44-2.62, 2 Li 2.51-2.65
S 0.2273 0.2273 0.2521  1 Co 2.35, 2 Nb 2.45
S 0.3887 0.0561 0.7192  1 Co 2.41, 2 Nb 2.44-2.62, 2 Li 2.51-2.65
S 0.6113 0.9439 0.2808  1 Co 2.41, 2 Nb 2.44-2.62, 2 Li 2.51-2.65
S 0.7727 0.7727 0.7479  1 Co 2.35, 2 Nb 2.45
S 0.9439 0.6113 0.2808  1 Co 2.41, 2 Nb 2.44-2.62, 2 Li 2.51-2.65

---

Record 2
An optimized crystal structure of LiNbCoSn2. Source: Alexandria, functional PBE-GGA.

ΔH_f (0 K) = 928 meV per atom

Lattice parameters (Å, degrees): 4.5625 4.5625 4.5357 90.00 90.00 90.00
Closest atoms and distances in Å follow each position.
Atoms (fractional coordinates):
Li 0.0000 0.0000 0.0000  2 Nb 2.27, 4 Sn 2.28
Nb 0.0000 0.0000 0.5000  2 Li 2.27
Co 0.5000 0.5000 0.5000  8 Sn 3.22, 4 Nb 3.23
Sn 0.0000 0.5000 0.0000  2 Li 2.28
Sn 0.5000 0.0000 0.0000  2 Li 2.28

---

Record 3
An optimized crystal structure of LiNbV2Co. Source: Alexandria, functional PBE-GGA.

ΔH_f (0 K) = 745 meV per atom

Lattice parameters (Å, degrees): 4.3337 4.3337 4.0378 90.00 90.00 90.00
Closest atoms and distances in Å follow each position.
Atoms (fractional coordinates):
Li 0.0000 0.0000 0.0000  2 Co 2.02
Nb 0.5000 0.5000 0.0000  8 V 2.96, 4 Li 3.06
V 0.0000 0.5000 0.5000  2 Co 2.17
V 0.5000 0.0000 0.5000  2 Co 2.17
Co 0.0000 0.0000 0.5000  2 Li 2.02, 4 V 2.17

---

Record 4
An optimized crystal structure of LiNd8Co2. Source: Alexandria, functional PBE-GGA.

ΔH_f (0 K) = 66 meV per atom

Lattice parameters (Å, degrees): 8.0809 8.0809 5.7873 96.99 96.99 116.98
Closest atoms and distances in Å follow each position.
Atoms (fractional coordinates):
Li 0.0000 0.0000 0.0000  4 Nd 3.32-3.43
Nd 0.0831 0.3419 0.5641  2 Co 2.79-2.80
Nd 0.2490 0.7512 0.9990  2 Co 2.94
Nd 0.3419 0.0831 0.5641  2 Co 2.79-2.80
Nd 0.4010 0.4010 0.2007  4 Nd 3.18-3.47, 1 Li 3.32, 2 Co 3.39
Nd 0.5992 0.5992 0.7967  4 Nd 3.18-3.47, 1 Li 3.32, 2 Co 3.39
Nd 0.6587 0.9175 0.4338  2 Co 2.79-2.80
Nd 0.7512 0.2490 0.9990  2 Co 2.94
Nd 0.9175 0.6587 0.4338  2 Co 2.79-2.80
Co 0.2888 0.7120 0.4990  6 Nd 2.79-2.94
Co 0.7120 0.2888 0.4990  6 Nd 2.79-2.94

---

Question: Number 3 is which compound?
Answer: LiNbV2Co